Crystalline SrPrIn2 at its relaxed geometry, computed with PBE-GGA.

Its space-group type is No. 123. For the raw total energy, the calculation gives -3.4375 eV/atom. As for the size of the total moment: 0.000 μB per atom. The value obtained for the volume is 31.70 A^3/atom. Its calculated formation energy is -1.81 eV per formula unit.

a b c (Å): 3.948 3.948 8.137
angles (deg): 90.00 90.00 90.00
Sites, in units of the cell vectors:
Sr (0.000, 0.000, 0.000)
Pr (0.000, 0.000, 0.500)
In (0.500, 0.500, 0.263)
In (0.500, 0.500, 0.737)